# NiMo2WF (PBEsol, relaxed)
# ΔE_f (raw)	0.76	eV/atom
data_NiMo2WF
_cell_length_a 4.041
_cell_length_b 4.041
_cell_length_c 4.106
_cell_angle_alpha 90.00
_cell_angle_beta 90.00
_cell_angle_gamma 90.00
_space_group_name_H-M_alt 'P 4/m m m'
_space_group_IT_number 123
_space_group_name_Hall '-P 4 2'
loop_
_atom_site_label
_atom_site_fract_x
_atom_site_fract_y
_atom_site_fract_z
_atom_site_occupancy
Ni1 0.000 0.000 0.000 1
Mo1 0.000 0.500 0.500 1
W1 0.500 0.500 0.000 1
F1 0.500 0.500 0.500 1

# Ba2ScTc (PBEsol, relaxed)
# E above lowest polymorph	149.2	meV per atom
# formation enthalpy at 0 K	201	kJ/mol of formula units
data_Ba2ScTc
_cell_length_a 3.651
_cell_length_b 5.900
_cell_length_c 11.623
_cell_angle_alpha 90.00
_cell_angle_beta 90.00
_cell_angle_gamma 90.00
_space_group_name_H-M_alt 'I m m 2'
_space_group_IT_number 44
_space_group_name_Hall 'I 2 -2'
loop_
_atom_site_label
_atom_site_fract_x
_atom_site_fract_y
_atom_site_fract_z
_atom_site_occupancy
Ba1 0.000 0.000 0.000 1
Ba2 0.000 0.500 0.192 1
Sc1 0.000 0.500 0.817 1
Tc1 0.000 0.000 0.462 1

# Tl2SbP (PBEsol, relaxed)
# E above lowest polymorph	252.6	meV per atom
# ΔE_f (raw)	0.32	eV/atom
data_Tl2SbP
_cell_length_a 6.117
_cell_length_b 10.103
_cell_length_c 3.228
_cell_angle_alpha 90.00
_cell_angle_beta 90.00
_cell_angle_gamma 90.00
_space_group_name_H-M_alt 'C m m m'
_space_group_IT_number 65
_space_group_name_Hall '-C 2 2'
loop_
_atom_site_label
_atom_site_fract_x
_atom_site_fract_y
_atom_site_fract_z
_atom_site_occupancy
Tl1 0.250 0.250 0.000 1
Sb1 0.000 0.000 0.500 1
P1 0.000 0.500 0.500 1

# Tc2AsAu (PBEsol, relaxed)
# formation enthalpy at 0 K	189	kJ/mol of formula units
data_Tc2AsAu
_cell_length_a 5.275
_cell_length_b 8.608
_cell_length_c 2.925
_cell_angle_alpha 90.00
_cell_angle_beta 112.58
_cell_angle_gamma 90.00
_space_group_name_H-M_alt 'C 1 2/m 1'
_space_group_IT_number 12
_space_group_name_Hall '-C 2y'
loop_
_atom_site_label
_atom_site_fract_x
_atom_site_fract_y
_atom_site_fract_z
_atom_site_occupancy
Tc1 0.250 0.250 0.000 1
As1 0.000 0.000 0.500 1
Au1 0.000 0.500 0.500 1

# BaHgB2Sb (PBEsol, relaxed)
# ΔE_f (raw)	1.14	eV/atom
data_BaHgB2Sb
_cell_length_a 4.609
_cell_length_b 4.609
_cell_length_c 5.830
_cell_angle_alpha 90.00
_cell_angle_beta 90.00
_cell_angle_gamma 90.00
_space_group_name_H-M_alt 'P 4/m m m'
_space_group_IT_number 123
_space_group_name_Hall '-P 4 2'
loop_
_atom_site_label
_atom_site_fract_x
_atom_site_fract_y
_atom_site_fract_z
_atom_site_occupancy
Ba1 0.000 0.000 0.000 1
Hg1 0.500 0.500 0.500 1
B1 0.000 0.500 0.500 1
Sb1 0.500 0.500 0.000 1

# MgRePb2 (PBEsol, relaxed)
# formation enthalpy at 0 K	276	kJ/mol of formula units
data_MgRePb2
_cell_length_a 3.735
_cell_length_b 5.156
_cell_length_c 8.804
_cell_angle_alpha 90.00
_cell_angle_beta 90.00
_cell_angle_gamma 90.00
_space_group_name_H-M_alt 'I m m m'
_space_group_IT_number 71
_space_group_name_Hall '-I 2 2'
loop_
_atom_site_label
_atom_site_fract_x
_atom_site_fract_y
_atom_site_fract_z
_atom_site_occupancy
Mg1 0.000 0.000 0.000 1
Re1 0.000 0.000 0.500 1
Pb1 0.000 0.500 0.242 1

# ScTiRe2 (PBEsol, relaxed)
# formation enthalpy at 0 K	-30	kJ/mol of formula units
data_ScTiRe2
_cell_length_a 6.278
_cell_length_b 6.278
_cell_length_c 6.278
_cell_angle_alpha 90.00
_cell_angle_beta 90.00
_cell_angle_gamma 90.00
_space_group_name_H-M_alt 'F m -3 m'
_space_group_IT_number 225
_space_group_name_Hall '-F 4 2 3'
loop_
_atom_site_label
_atom_site_fract_x
_atom_site_fract_y
_atom_site_fract_z
_atom_site_occupancy
Sc1 0.000 0.000 0.000 1
Ti1 0.000 0.000 0.500 1
Re1 0.250 0.250 0.250 1

# Ti2Nb2Ni2C (PBEsol, relaxed)
# formation enthalpy at 0 K	-312	kJ/mol of formula units
data_Ti2Nb2Ni2C
_cell_length_a 8.118
_cell_length_b 8.118
_cell_length_c 11.373
_cell_angle_alpha 90.00
_cell_angle_beta 90.00
_cell_angle_gamma 90.00
_space_group_name_H-M_alt 'I -4 m 2'
_space_group_IT_number 119
_space_group_name_Hall 'I -4 -2'
loop_
_atom_site_label
_atom_site_fract_x
_atom_site_fract_y
_atom_site_fract_z
_atom_site_occupancy
Ti1 0.000 0.243 0.368 1
Ti2 0.188 0.188 0.000 1
Nb1 0.000 0.000 0.178 1
Nb2 0.000 0.500 0.560 1
Nb3 0.182 0.318 0.750 1
Ni1 0.000 0.161 0.575 1
Ni2 0.000 0.341 0.163 1
C1 0.000 0.250 0.880 1

# KGdCO3F2 (PBEsol, relaxed)
# ΔE_f (raw)	-2.74	eV/atom
data_KGdCO3F2
_cell_length_a 6.963
_cell_length_b 11.072
_cell_length_c 21.839
_cell_angle_alpha 90.00
_cell_angle_beta 90.00
_cell_angle_gamma 90.00
_space_group_name_H-M_alt 'F d d d'
_space_group_IT_number 70
loop_
_space_group_symop_operation_xyz
'x,y,z'
'-x,-y,-z'
'-x+1/4,-y+1/4,z'
'x+1/4,y+1/4,-z'
'x,-y+1/4,-z+1/4'
'-x,y+1/4,z+1/4'
'-x+1/4,y,-z+1/4'
'x+1/4,-y,z+1/4'
'x,y+1/2,z+1/2'
'-x,-y+1/2,-z+1/2'
'-x+1/4,-y+3/4,z+1/2'
'x+1/4,y+3/4,-z+1/2'
'x,-y+3/4,-z+3/4'
'-x,y+3/4,z+3/4'
'-x+1/4,y+1/2,-z+3/4'
'x+1/4,-y+1/2,z+3/4'
'x+1/2,y,z+1/2'
'-x+1/2,-y,-z+1/2'
'-x+3/4,-y+1/4,z+1/2'
'x+3/4,y+1/4,-z+1/2'
'x+1/2,-y+1/4,-z+3/4'
'-x+1/2,y+1/4,z+3/4'
'-x+3/4,y,-z+3/4'
'x+3/4,-y,z+3/4'
'x+1/2,y+1/2,z'
'-x+1/2,-y+1/2,-z'
'-x+3/4,-y+3/4,z'
'x+3/4,y+3/4,-z'
'x+1/2,-y+3/4,-z+1/4'
'-x+1/2,y+3/4,z+1/4'
'-x+3/4,y+1/2,-z+1/4'
'x+3/4,-y+1/2,z+1/4'
loop_
_atom_site_label
_atom_site_fract_x
_atom_site_fract_y
_atom_site_fract_z
_atom_site_occupancy
K1 0.125 0.125 0.043 1
Gd1 0.125 0.307 0.625 1
C1 0.125 0.125 0.503 1
O1 0.037 0.373 0.724 1
O2 0.125 0.125 0.563 1
F1 0.060 0.020 0.891 1

# Sr8Ga16S31 (PBEsol, relaxed)
# ΔE_f (raw)	-1.17	eV/atom
data_Sr8Ga16S31
_cell_length_a 11.773
_cell_length_b 11.860
_cell_length_c 11.995
_cell_angle_alpha 105.06
_cell_angle_beta 104.69
_cell_angle_gamma 118.61
_space_group_name_H-M_alt 'P 1'
_space_group_IT_number 1
_space_group_name_Hall 'P 1'
loop_
_atom_site_label
_atom_site_fract_x
_atom_site_fract_y
_atom_site_fract_z
_atom_site_occupancy
Sr1 0.000 0.000 0.000 1
Sr2 0.001 0.488 0.004 1
Sr3 0.246 0.237 0.497 1
Sr4 0.252 0.746 0.501 1
Sr5 0.497 0.991 0.001 1
Sr6 0.504 0.496 0.004 1
Sr7 0.746 0.239 0.499 1
Sr8 0.754 0.745 0.502 1
Ga1 0.006 0.836 0.245 1
Ga2 0.014 0.232 0.751 1
Ga3 0.096 0.728 0.753 1
Ga4 0.157 0.007 0.754 1
Ga5 0.238 0.504 0.750 1
Ga6 0.241 0.892 0.247 1
Ga7 0.267 0.401 0.253 1
Ga8 0.486 0.759 0.250 1
Ga9 0.488 0.252 0.249 1
Ga10 0.515 0.232 0.752 1
Ga11 0.595 0.728 0.751 1
Ga12 0.656 0.007 0.752 1
Ga13 0.738 0.506 0.753 1
Ga14 0.762 0.482 0.251 1
Ga15 0.763 0.974 0.247 1
Ga16 0.985 0.336 0.252 1
S1 0.041 0.284 0.584 1
S2 0.043 0.784 0.588 1
S3 0.044 0.286 0.084 1
S4 0.206 0.950 0.921 1
S5 0.208 0.450 0.419 1
S6 0.210 0.452 0.917 1
S7 0.221 0.963 0.438 1
S8 0.277 0.715 0.247 1
S9 0.281 0.710 0.750 1
S10 0.282 0.213 0.248 1
S11 0.312 0.214 0.755 1
S12 0.440 0.520 0.749 1
S13 0.456 0.044 0.246 1
S14 0.472 0.027 0.753 1
S15 0.473 0.559 0.253 1
S16 0.540 0.783 0.083 1
S17 0.544 0.285 0.085 1
S18 0.544 0.289 0.587 1
S19 0.544 0.786 0.585 1
S20 0.706 0.449 0.416 1
S21 0.707 0.949 0.918 1
S22 0.709 0.951 0.415 1
S23 0.712 0.453 0.920 1
S24 0.779 0.176 0.249 1
S25 0.784 0.714 0.756 1
S26 0.793 0.688 0.250 1
S27 0.811 0.213 0.752 1
S28 0.943 0.525 0.758 1
S29 0.968 0.013 0.242 1
S30 0.969 0.521 0.253 1
S31 0.971 0.027 0.751 1

# Cd5Te (PBEsol, relaxed)
# E above lowest polymorph	0.0	meV per atom
# ΔE_f (raw)	0.04	eV/atom
data_Cd5Te
_cell_length_a 13.626
_cell_length_b 3.228
_cell_length_c 7.589
_cell_angle_alpha 90.00
_cell_angle_beta 119.38
_cell_angle_gamma 90.00
_space_group_name_H-M_alt 'C 1 m 1'
_space_group_IT_number 8
_space_group_name_Hall 'C -2y'
loop_
_atom_site_label
_atom_site_fract_x
_atom_site_fract_y
_atom_site_fract_z
_atom_site_occupancy
Cd1 0.000 0.000 0.000 1
Cd2 0.014 0.500 0.669 1
Cd3 0.080 0.500 0.357 1
Cd4 0.208 0.000 0.972 1
Cd5 0.372 0.500 0.296 1
Te1 0.288 0.000 0.669 1

# Ce3GeS2 (PBEsol, relaxed)
# ΔE_f (raw)	-1.60	eV/atom
data_Ce3GeS2
_cell_length_a 4.044
_cell_length_b 5.698
_cell_length_c 12.073
_cell_angle_alpha 90.00
_cell_angle_beta 90.00
_cell_angle_gamma 90.00
_space_group_name_H-M_alt 'I m m m'
_space_group_IT_number 71
_space_group_name_Hall '-I 2 2'
loop_
_atom_site_label
_atom_site_fract_x
_atom_site_fract_y
_atom_site_fract_z
_atom_site_occupancy
Ce1 0.000 0.000 0.000 1
Ce2 0.000 0.000 0.327 1
Ge1 0.000 0.500 0.000 1
S1 0.000 0.500 0.336 1